No. 1
# NdAl2GaAg

A relaxed NdAl2GaAg crystal (PBE, OQMD).

Properties
- Total energy: -20.45 eV for the cell shown
- SG: I4mm, No. 107
- Total magnetization: 0.01 μB/cell

Cell lengths 6.4085, 6.4085, 6.4085 Å; angles 141.32, 141.32, 55.85 degrees
Fractional coordinates of all 5 atoms:
Ga 0.3943 0.3943 0.0000
Ag 0.6194 0.6194 0.0000
Nd 0.9851 0.9851 0.0000
Al 0.7506 0.2506 0.5000
Al 0.2506 0.7506 0.5000

=====

No. 2
# AlGaAg2O4

A relaxed AlGaAg2O4 crystal (PBE, OQMD).

Properties
- Total energy: -44.95 eV for the cell shown
- SG: P-3m1, No. 164

Cell lengths 2.9513, 2.9513, 12.4249 Å; angles 90.00, 90.00, 120.00 degrees
Fractional coordinates of all 8 atoms:
O 0.6667 0.3333 0.9170
O 0.6667 0.3333 0.5760
O 0.3333 0.6667 0.4240
O 0.3333 0.6667 0.0830
Ag 0.3333 0.6667 0.2533
Ag 0.6667 0.3333 0.7467
Ga 0.0000 0.0000 0.0000
Al 0.0000 0.0000 0.5000

=====

No. 3
# PrAlGaAg2

A relaxed PrAlGaAg2 crystal (PBE, OQMD).

Properties
- Total energy: -38.19 eV for the cell shown
- SG: P4/nmm, No. 129
- Total magnetization: 0.01 μB/cell

Cell lengths 4.4039, 4.4039, 10.9106 Å; angles 90.00, 90.00, 90.00 degrees
Fractional coordinates of all 10 atoms:
Ag 0.5000 0.5000 0.0000
Ag 0.0000 0.0000 0.0000
Ag 0.0000 0.5000 0.6294
Ag 0.5000 0.0000 0.3706
Al 0.0000 0.0000 0.5000
Al 0.5000 0.5000 0.5000
Pr 0.5000 0.0000 0.7530
Pr 0.0000 0.5000 0.2470
Ga 0.5000 0.0000 0.1372
Ga 0.0000 0.5000 0.8628

=====

No. 4
# AlGaAg2Se4

A relaxed AlGaAg2Se4 crystal (PBE, OQMD).

Properties
- Total energy: -30.70 eV for the cell shown
- SG: I-4, No. 82

Cell lengths 7.0240, 7.0240, 7.0240 Å; angles 128.93, 128.93, 75.12 degrees
Fractional coordinates of all 8 atoms:
Ga 0.0000 0.0000 0.0000
Al 0.2500 0.7500 0.5000
Se 0.3435 0.8745 0.9654
Se 0.6219 0.6565 0.5309
Se 0.9090 0.3781 0.0346
Se 0.1255 0.0910 0.4691
Ag 0.7500 0.2500 0.5000
Ag 0.5000 0.5000 0.0000

=====

No. 5
# SrAlGa2Ag

A relaxed SrAlGa2Ag crystal (PBE, OQMD).

Properties
- Total energy: -16.17 eV for the cell shown
- SG: I-4m2, No. 119

Cell lengths 6.3979, 6.3979, 6.3979 Å; angles 139.91, 139.91, 57.99 degrees
Fractional coordinates of all 5 atoms:
Al 0.5000 0.5000 0.0000
Ga 0.6354 0.1354 0.5000
Ga 0.8646 0.3646 0.5000
Sr 0.2500 0.7500 0.5000
Ag 0.0000 0.0000 0.0000

=====

No. 6
# YAlGaAg2

A relaxed YAlGaAg2 crystal (PBE, OQMD).

Properties
- Total energy: -41.27 eV for the cell shown
- SG: P4/nmm, No. 129
- Total magnetization: 0.01 μB/cell

Cell lengths 4.2502, 4.2502, 11.1608 Å; angles 90.00, 90.00, 90.00 degrees
Fractional coordinates of all 10 atoms:
Al 0.0000 0.0000 0.5000
Al 0.5000 0.5000 0.5000
Ga 0.0000 0.5000 0.8596
Ga 0.5000 0.0000 0.1404
Ag 0.5000 0.0000 0.3649
Ag 0.0000 0.5000 0.6351
Ag 0.0000 0.0000 0.0000
Ag 0.5000 0.5000 0.0000
Y 0.0000 0.5000 0.2478
Y 0.5000 0.0000 0.7522